This record from Alexandria via LeMat-Bulk describes a relaxed structure of Li7CoO4F2. The functional is PBE with a Hubbard U.

- Total magnetic moment: 8.02 μB/cell
- Symmetry: P1
- Offset from the most stable computed form: 0.0 kJ/mol of formula units
- VASP energy: -4.9915 eV per atom

```
28
Lattice="5.673 0.000 0.000 -2.507 5.250 0.000 -0.762 -1.809 9.244" Properties=species:S:1:pos:R:3 pbc="T T T"
Li 0.000 0.000 0.000
Li -1.118 1.029 3.681
Li -1.111 2.248 1.445
Li -1.660 1.213 8.048
Li -2.280 3.767 7.048
Li 0.695 -0.195 4.591
Li -0.617 2.430 5.826
Li 1.443 1.432 2.827
Li 0.343 3.528 3.624
Li 0.226 4.740 1.243
Li 1.422 1.144 6.425
Li 2.548 -1.493 7.849
Li 2.321 2.588 4.761
Li 2.815 3.993 2.349
Co 1.924 2.317 0.312
Co 3.592 -0.188 5.956
O 1.116 -1.216 9.084
O 0.540 1.747 4.487
O 0.752 2.862 1.587
O 1.768 -0.845 6.047
O 4.428 -0.749 4.398
O 3.428 3.287 0.281
O 3.285 1.724 6.220
O 4.247 -0.709 7.606
F 1.517 -0.493 2.821
F 0.141 1.896 7.612
F 3.261 2.228 3.078
F 4.567 0.351 1.569
```